# PBE Li2CrW2, optimized geometry
data_Li2CrW2
_cell_length_a 6.186
_cell_length_b 6.186
_cell_length_c 3.280
_cell_angle_alpha 90.00
_cell_angle_beta 90.00
_cell_angle_gamma 90.00
_symmetry_space_group_name_H-M 'P 4/m b m'
_symmetry_Int_Tables_number 127
_symmetry_space_group_name_Hall '-P 4 2ab'
loop_
_atom_site_label
_atom_site_type_symbol
_atom_site_fract_x
_atom_site_fract_y
_atom_site_fract_z
_atom_site_occupancy
Li1 Li 0.112 0.388 0.000 1
Cr1 Cr 0.000 0.000 0.000 1
W1 W 0.190 0.690 0.500 1
# Energy relative to the lowest polymorph listed for this composition, meV per atom: 0
# Formation energy, kJ/mol of formula units: 421
# Total energy, eV/atom: -6.998
# ρ, g/cm³: 11.47